CePa2Te4 after structural relaxation, computed with GGA-PBE.

Values from the calculation:
- M_tot: 4.69 μB/f.u.
- Total DFT energy (no corrections): -6.233 eV/atom
- Uncorrected formation energy: -84.6 kJ/mol of atoms
- V: 32.6 Å³ per atom
- ρ: 8.094 g cm⁻³

Geometry as CIF:
```
data_CePa2Te4
_cell_length_a 4.2550
_cell_length_b 13.8699
_cell_length_c 15.4707
_cell_angle_alpha 90.00
_cell_angle_beta 90.00
_cell_angle_gamma 90.00
_symmetry_space_group_name_H-M 'C m c m'
_symmetry_Int_Tables_number 63
_symmetry_space_group_name_Hall '-C 2c 2'
loop_
_atom_site_label
_atom_site_type_symbol
_atom_site_fract_x
_atom_site_fract_y
_atom_site_fract_z
Ce1 Ce 0.0000 0.1003 0.2500
Pa1 Pa 0.0000 0.3523 0.0593
Te1 Te 0.0000 0.0000 0.0000
Te2 Te 0.0000 0.2872 0.6320
Te3 Te 0.0000 0.4288 0.2500
```